Crystalline Cs3Sb4Pt7 at its relaxed geometry. Source: Alexandria, functional PBE-GGA.

Results
E_form (uncorrected) (meV per atom): -349
Calculated density (Mg/m³): 9.061

Cell: 17.1253 4.4895 13.4706 Å, 90.00 127.18 90.00°
Space group C2/m (No. 12)
Inequivalent atoms, fractional coordinates:
Cs 0.0000 0.0000 0.0000 (multiplicity 2)
Cs 0.0065 0.0000 0.6926 (multiplicity 4)
Sb 0.1767 0.5000 0.0034 (multiplicity 4)
Sb 0.1889 0.5000 0.6131 (multiplicity 4)
Pt 0.0000 0.5000 0.5000 (multiplicity 2)
Pt 0.2422 0.5000 0.2450 (multiplicity 4)
Pt 0.2470 0.0000 0.5492 (multiplicity 4)
Pt 0.2478 0.5000 0.8729 (multiplicity 4)